First-principles (GGA-PBE) data for a relaxed La3W crystal, as listed in Alexandria.

The structure in extended XYZ format:
```
4
Lattice="-2.588 0.915 2.336 -2.114 -2.604 -1.321 3.446 -5.909 6.132" Properties=species:S:1:pos:R:3 pbc="T T T"
La 3.257 -5.585 5.796
La 1.912 -3.278 3.402
La -1.489 -2.321 2.041
W 0.233 -5.276 5.107
```

ρ (g/cm³): 8.355
Offset from the most stable computed form (meV per atom): 53
Fermi-level density of states (states/eV/f.u.): 5.29


First-principles (GGA-PBE) data for a relaxed EuNi5P3 crystal, as listed in Alexandria.

The structure in extended XYZ format:
```
18
Lattice="6.122 0.000 0.000 -5.064 3.441 0.000 0.000 0.000 11.515" Properties=species:S:1:pos:R:3 pbc="T T T"
Eu -3.267 2.888 2.879
Eu 4.325 0.553 8.636
Ni -0.047 1.897 1.669
Ni -0.047 1.897 4.089
Ni -2.844 2.758 10.726
Ni 1.105 1.543 9.846
Ni 3.902 0.683 4.968
Ni 1.105 1.543 7.426
Ni -2.844 2.758 6.546
Ni 0.000 0.000 0.000
Ni 0.000 0.000 5.757
Ni 3.902 0.683 0.789
P -3.756 3.038 8.636
P -0.792 2.126 11.049
P -0.792 2.126 6.223
P 1.850 1.314 5.292
P 1.850 1.314 0.465
P 4.814 0.402 2.879
```

Raw total energy (eV for the cell shown): -124.4
ρ (g/cm³): 7.371
Fermi-level density of states (states/eV/f.u.): 9.04


First-principles (GGA-PBE) data for a relaxed LiThMg2Hg4 crystal, as listed in Alexandria.

The structure in extended XYZ format:
```
8
Lattice="4.874 0.000 0.000 2.437 4.221 0.000 2.437 1.407 8.780" Properties=species:S:1:pos:R:3 pbc="T T T"
Li 4.874 2.814 4.390
Th 0.000 0.000 0.000
Mg 7.311 4.221 6.425
Mg 2.437 1.407 2.356
Hg 4.874 2.814 7.300
Hg 7.311 4.221 3.430
Hg 2.437 1.407 5.351
Hg 4.874 2.814 1.480
```

Raw total energy (eV for the cell shown): -16.1
ρ (g/cm³): 10.018
Fermi-level density of states (states/eV/f.u.): 4.54


First-principles (GGA-PBE) data for a relaxed NbZn2AsPb crystal, as listed in Alexandria.

The structure in extended XYZ format:
```
5
Lattice="-4.925 -0.770 -0.145 0.898 -5.477 -1.420 0.052 -1.244 4.829" Properties=species:S:1:pos:R:3 pbc="T T T"
Pb 0.000 0.000 0.000
Zn 0.026 -0.622 2.414
Zn -2.462 -0.385 -0.073
Nb -1.987 -3.745 1.632
As 0.449 -2.738 -0.710
```

Raw total energy (eV for the cell shown): -14.3
ρ (g/cm³): 5.896
Fermi-level density of states (states/eV/f.u.): 4.80


First-principles (GGA-PBE) data for a relaxed LaSeBr2 crystal, as listed in Alexandria.

The structure in extended XYZ format:
```
8
Lattice="4.760 0.000 0.000 0.000 4.760 0.000 2.380 2.380 10.448" Properties=species:S:1:pos:R:3 pbc="T T T"
Se 2.380 2.380 0.000
Se 2.380 4.760 5.224
Br 3.623 1.190 2.612
Br 1.137 3.570 2.612
Br 3.570 3.516 7.836
Br 5.949 6.003 7.836
La 0.000 0.000 0.000
La 4.760 2.380 5.224
```

Formation energy from raw total energies (meV per atom): -1160
ρ (g/cm³): 5.300
Offset from the most stable computed form (meV per atom): 305
Fermi-level density of states (states/eV/f.u.): 2.58


First-principles (GGA-PBE) data for a relaxed Y12Cu6Bi crystal, as listed in Alexandria.

The structure in extended XYZ format:
```
19
Lattice="2.043 -6.726 -4.992 0.053 -2.438 8.269 -7.857 2.859 -2.103" Properties=species:S:1:pos:R:3 pbc="T T T"
Y -5.746 0.004 -2.277
Y -0.842 -2.696 2.159
Y -4.920 -3.609 -0.985
Y -0.015 -6.309 3.451
Y -2.105 -1.876 5.501
Y -1.365 -2.905 -1.529
Y -4.397 -3.401 2.703
Y -3.657 -4.429 -4.327
Y 0.779 -5.867 -1.783
Y -3.463 -0.604 0.525
Y -2.298 -5.701 0.649
Y -6.541 -0.438 2.957
Cu -6.098 -1.250 0.403
Cu 0.336 -5.055 0.771
Cu -1.900 -4.423 3.967
Cu -3.862 -1.882 -2.794
Cu -2.116 -5.394 -2.310
Cu -3.646 -0.911 3.484
Bi 0.000 0.000 0.000
```

Raw total energy (eV for the cell shown): -110.5
ρ (g/cm³): 5.578
Fermi-level density of states (states/eV/f.u.): 17.15


First-principles (GGA-PBE) data for a relaxed ReRu2Au crystal, as listed in Alexandria.

The structure in extended XYZ format:
```
4
Lattice="2.709 0.011 0.000 -1.251 2.403 0.000 0.000 0.000 9.531" Properties=species:S:1:pos:R:3 pbc="T T T"
Au 0.000 0.000 4.748
Re 0.729 1.207 7.315
Ru 0.000 0.000 9.523
Ru 0.729 1.207 2.242
```

ρ (g/cm³): 15.629
Offset from the most stable computed form (meV per atom): 369
Fermi-level density of states (states/eV/f.u.): 4.14


First-principles (GGA-PBE) data for a relaxed Ta2FeCu crystal, as listed in Alexandria.

The structure in extended XYZ format:
```
4
Lattice="5.229 -0.006 -0.001 2.518 4.583 0.001 -3.395 -3.098 2.494" Properties=species:S:1:pos:R:3 pbc="T T T"
Cu 3.694 2.183 0.000
Fe 1.489 1.882 1.247
Ta 0.180 0.106 0.000
Ta 2.861 -0.403 1.246
```

ρ (g/cm³): 13.364
Offset from the most stable computed form (meV per atom): 75
Fermi-level density of states (states/eV/f.u.): 3.87


First-principles (GGA-PBE) data for a relaxed KTl3InPb crystal, as listed in Alexandria.

The structure in extended XYZ format:
```
12
Lattice="-3.099 1.630 3.298 5.429 -4.751 3.942 6.036 8.229 1.606" Properties=species:S:1:pos:R:3 pbc="T T T"
K 5.428 4.500 6.385
K 2.937 0.607 2.460
Tl 2.614 3.848 4.063
Tl 5.751 1.259 4.783
Tl 2.802 -2.762 3.998
Tl 5.563 7.869 4.848
Tl 5.653 5.028 2.828
Tl 2.712 0.079 6.018
In 3.018 4.114 0.803
In 0.000 0.000 0.000
Pb 8.373 2.268 6.748
Pb -0.008 2.839 2.098
```

Raw total energy (eV for the cell shown): -30.1
ρ (g/cm³): 8.283
Fermi-level density of states (states/eV/f.u.): 2.14


First-principles (GGA-PBE) data for a relaxed Nd3ThIr3 crystal, as listed in Alexandria.

The structure in extended XYZ format:
```
14
Lattice="7.282 0.316 2.517 1.892 7.039 2.517 0.395 0.316 7.694" Properties=species:S:1:pos:R:3 pbc="T T T"
Nd 6.718 2.895 3.910
Nd 2.566 5.928 5.204
Nd 3.237 1.216 7.540
Nd 6.331 6.456 5.188
Nd 7.002 1.744 7.523
Nd 2.851 4.776 8.817
Th 3.126 2.506 4.158
Th 6.443 5.166 8.570
Ir 4.991 2.679 9.445
Ir 4.286 6.921 7.419
Ir 8.046 4.289 6.178
Ir 1.523 3.382 6.549
Ir 5.283 0.751 5.309
Ir 4.577 4.993 3.282
```

Raw total energy (eV for the cell shown): -106.1
ρ (g/cm³): 10.885
Fermi-level density of states (states/eV/f.u.): 4.45


First-principles (GGA-PBE) data for a relaxed La3YHo3 crystal, as listed in Alexandria.

The structure in extended XYZ format:
```
14
Lattice="-4.953 1.781 2.458 -3.322 -9.180 -0.042 5.014 3.341 7.681" Properties=species:S:1:pos:R:3 pbc="T T T"
La -3.397 -1.741 4.713
La -4.071 -5.199 5.861
La 2.045 0.013 7.543
La -5.306 -4.070 2.555
La 0.811 1.142 4.237
La 0.136 -2.316 5.384
Y -1.782 -4.561 3.147
Y -1.479 0.504 6.950
Ho 0.456 2.811 9.177
Ho -2.192 -3.004 8.055
Ho -0.559 -5.760 6.478
Ho -2.701 1.703 3.619
Ho -1.068 -1.053 2.043
Ho -3.717 -6.868 0.920
```

ρ (g/cm³): 6.930
Offset from the most stable computed form (meV per atom): 0
Fermi-level density of states (states/eV/f.u.): 13.72